Version i
MnGaSeBr2: optimized geometry, PBE.

Unit cell a=5.081 b=5.081 c=5.124 alpha=90.00 beta=90.00 gamma=90.00
Space group P4/mmm (No. 123)
Inequivalent atoms, fractional coordinates:
Mn (0.000, 0.000, 0.000) x1
Ga (0.500, 0.500, 0.500) x1
Se (0.500, 0.500, 0.000) x1
Br (0.000, 0.500, 0.500) x2

Results
Crystal system: tetragonal
Fermi-level density of states (states/eV/f.u.): 1.453


Version ii
MnGaSeBr2: optimized geometry, PBE.

Unit cell a=5.233 b=5.233 c=4.905 alpha=90.00 beta=90.00 gamma=90.00
Space group P4/mmm (No. 123)
Inequivalent atoms, fractional coordinates:
Mn (0.000, 0.000, 0.000) x1
Ga (0.500, 0.500, 0.500) x1
Se (0.000, 0.000, 0.500) x1
Br (0.000, 0.500, 0.000) x2

Results
Crystal system: tetragonal
Fermi-level density of states (states/eV/f.u.): 3.221


Calculated relative energies: version i 0.404; version ii 0.000, given in eV/atom


Version i
GaMo2Br2: optimized geometry, PBE.

Unit cell a=4.139 b=4.139 c=12.822 alpha=90.00 beta=90.00 gamma=90.00
Space group I4/mmm (No. 139)
Inequivalent atoms, fractional coordinates:
Ga (0.000, 0.000, 0.000) x2
Mo (0.000, 0.500, 0.250) x4
Br (0.000, 0.000, 0.367) x4

Results
Crystal system: tetragonal
Fermi-level density of states (states/eV/f.u.): 6.625


Version ii
GaMo2Br2: optimized geometry, PBE.

Unit cell a=7.974 b=7.974 c=2.981 alpha=90.00 beta=90.00 gamma=90.00
Space group P4/mbm (No. 127)
Inequivalent atoms, fractional coordinates:
Ga (0.000, 0.000, 0.000) x2
Mo (0.183, 0.317, 0.500) x4
Br (0.131, 0.631, 0.000) x4

Results
Crystal system: tetragonal
Fermi-level density of states (states/eV/f.u.): 4.198


Calculated relative energies: version i 0.000; version ii 0.264, given in eV/atom


Version i
Ga2MoBr: optimized geometry, PBE.

Unit cell a=6.694 b=6.694 c=6.694 alpha=90.00 beta=90.00 gamma=90.00
Space group Fm-3m (No. 225)
Inequivalent atoms, fractional coordinates:
Ga (0.250, 0.250, 0.250) x8
Mo (0.000, 0.000, 0.000) x4
Br (0.000, 0.000, 0.500) x4

Results
Crystal system: cubic
Fermi-level density of states (states/eV/f.u.): 2.998


Version ii
Ga2MoBr: optimized geometry, PBE.

Unit cell a=6.205 b=6.205 c=12.321 alpha=90.00 beta=90.00 gamma=90.00
Space group I-42d (No. 122)
Inequivalent atoms, fractional coordinates:
Ga (0.204, 0.250, 0.125) x8
Mo (0.000, 0.000, 0.000) x4
Br (0.000, 0.000, 0.500) x4

Results
Crystal system: tetragonal
Fermi-level density of states (states/eV/f.u.): 3.116


Calculated relative energies: version i 0.070; version ii 0.000, given in eV/atom


Version i
Ga3MoBr: optimized geometry, PBE.

Unit cell a=5.391 b=5.391 c=5.391 alpha=90.00 beta=90.00 gamma=90.00
Space group Pm-3m (No. 221)
Inequivalent atoms, fractional coordinates:
Ga (0.000, 0.000, 0.500) x3
Mo (0.500, 0.500, 0.500) x1
Br (0.000, 0.000, 0.000) x1

Results
Crystal system: cubic
Fermi-level density of states (states/eV/f.u.): 2.171


Version ii
Ga3MoBr: optimized geometry, PBE.

Unit cell a=5.083 b=5.083 c=5.083 alpha=90.00 beta=90.00 gamma=90.00
Space group Pm-3m (No. 221)
Inequivalent atoms, fractional coordinates:
Ga (0.000, 0.000, 0.500) x3
Mo (0.000, 0.000, 0.000) x1
Br (0.500, 0.500, 0.500) x1

Results
Crystal system: cubic
Fermi-level density of states (states/eV/f.u.): 7.132


Calculated relative energies: version i 0.836; version ii 0.000, given in eV/atom